Material: TmAg6Hg
Method: DFT, PBE
State: relaxed

The value obtained for the total magnetization is 0.00 μB/f.u. As for the symmetry: R-3m, No. 166. The calculated formation energy is 280 meV per atom.

abc: 5.516 5.516 8.474
angles: 71.01 71.01 60.00
Fractional positions:
Hg 0.500 0.500 0.500
Ag 0.440 0.936 0.687
Ag 0.936 0.440 0.687
Ag 0.560 0.064 0.313
Ag 0.936 0.936 0.687
Ag 0.064 0.560 0.313
Ag 0.064 0.064 0.313
Tm 0.000 0.000 0.000

=====

Material: Dy2YHo3S6
Method: DFT, PBE
State: relaxed

The value obtained for the total magnetization is 0.00 μB/f.u. The total energy is -6.50 eV/atom. As for the symmetry: C2/m, No. 12.

abc: 6.753 6.753 6.749
angles: 99.56 99.56 120.22
Fractional positions:
S 0.084 0.418 0.252
S 0.418 0.084 0.252
S 0.250 0.250 0.748
S 0.916 0.582 0.748
S 0.750 0.750 0.252
S 0.582 0.916 0.748
Dy 0.667 0.333 0.000
Dy 0.333 0.667 0.000
Ho 0.500 0.500 0.500
Ho 0.166 0.834 0.500
Ho 0.834 0.166 0.500
Y 0.000 0.000 0.000

=====

Material: Er3Al7Pd4
Method: DFT, PBE
State: relaxed

The value obtained for the total magnetization is 0.00 μB/f.u. As for the symmetry: C2/m, No. 12. The calculated formation energy is -794 meV per atom.

abc: 4.265 8.095 8.359
angles: 69.67 75.22 74.73
Fractional positions:
Al 0.504 0.787 0.204
Al 0.496 0.213 0.796
Al 0.000 0.000 0.000
Al 0.319 0.836 0.526
Al 0.850 0.379 0.921
Al 0.150 0.621 0.079
Al 0.681 0.164 0.474
Pd 0.338 0.541 0.783
Pd 0.882 0.895 0.341
Pd 0.118 0.105 0.659
Pd 0.662 0.459 0.217
Er 0.000 0.500 0.500
Er 0.693 0.809 0.805
Er 0.307 0.191 0.195

=====

Material: CeTiAu2
Method: DFT, PBE
State: relaxed

Its polymorph energy (0 for the lowest one) is 66 meV per atom. The value obtained for the total magnetization is 2.32 μB/f.u. As for the symmetry: P4/mmm, No. 123. The calculated formation energy is -375 meV per atom.

abc: 3.951 4.632 4.632
angles: 90.00 90.00 90.00
Site moments in Bohr magnetons follow the coordinates.
Fractional positions:
Au 0.000 0.000 0.500  0.01
Au 0.000 0.500 0.000  0.01
Ti 0.500 0.500 0.500  1.20
Ce 0.500 0.000 0.000  0.67